## Na2MgHg (PBE)

Data for a geometry-optimized Na2MgHg structure.

The space group is P4/mmm (No. 123) and the conventional cell measures 4.549, 4.549 and 5.000 Å, with angles of 90.00, 90.00 and 90.00 degrees. Symmetry generates all atoms from Na at (0.000, 0.500, 0.000), Mg at (0.000, 0.000, 0.500) and Hg at (0.500, 0.500, 0.500).

The value obtained for the calculated formation energy is -0.086 eV per atom. As for the uncorrected energy: -1.2199 eV/atom.

## CdGaAsSe2 (PBE)

Data for a geometry-optimized CdGaAsSe2 structure.

The space group is P4/mmm (No. 123) and the conventional cell measures 5.039, 5.039 and 4.933 Å, with angles of 90.00, 90.00 and 90.00 degrees. Symmetry generates all atoms from Cd at (0.000, 0.000, 0.000), Ga at (0.500, 0.500, 0.500), As at (0.500, 0.500, 0.000) and Se at (0.000, 0.500, 0.500).

As for the uncorrected energy: -2.7310 eV/atom. Its distance to the lowest polymorph of the same formula is 0 meV per atom. The calculation puts the uncorrected formation energy at 0.3811 eV per atom.

## UCo2P (PBE)

Data for a geometry-optimized UCo2P structure.

The space group is P4/nmm (No. 129, origin choice 2) and the conventional cell measures 3.625, 3.625 and 8.912 Å, with angles of 90.00, 90.00 and 90.00 degrees. Symmetry generates all atoms from U at (0.250, 0.250, 0.211), Co at (0.250, 0.250, 0.902), Co at (0.250, 0.750, 0.500) and P at (0.250, 0.250, 0.642).

The value obtained for the calculated formation energy is -0.536 eV per atom. As for the uncorrected energy: -8.2635 eV/atom.